First-principles (PBE-GGA) data for an optimized crystal structure of Sr4Tl, as listed in Alexandria via LeMat-Bulk.

Cell: 13.940 8.388 10.477 Å, 90.00 125.61 90.00°
Space group C2/m (No. 12)
One atom of each set of equivalent atoms:
Sr (0.064, 0.244, 0.361) (multiplicity 8)
Sr (0.218, 0.500, 0.164) (multiplicity 4)
Sr (0.249, 0.500, 0.789) (multiplicity 4)
Tl (0.000, 0.209, 0.000) (multiplicity 4)

Summary:
For the total magnetization, the calculation gives 0.0 μB/cell. The energy relative to the elements comes out at -0.084 eV/atom. The calculation puts the density of states at the Fermi level at 1.171 states/eV per atom. The calculation puts the raw total energy at -1.903 eV per atom.